(1)
BaY2Cl: optimized geometry, PBE.

Results
As for the excess energy over the best structure of this formula in the dataset: 246.1 meV per atom. Its raw total energy is -4.527 eV per atom. As for the total magnetization: 0.73 μB/f.u. The uncorrected formation energy is -352 meV per atom.

a b c (Å): 6.9976 6.9976 6.9976
angles (deg): 149.29 120.71 68.25
Closest atoms and distances in Å follow each position.
Sites, in units of the cell vectors:
Ba: 0.4516 0.4516 0.0000  2 Cl 3.24
Cl: 0.2219 0.7219 0.5000  2 Y 2.81
Y: 0.0401 0.0401 0.0000  2 Cl 2.81
Y: 0.7864 0.2864 0.5000  4 Y 3.48-3.71



(2)
ScSiI2O: optimized geometry, PBE.

Results
As for the excess energy over the best structure of this formula in the dataset: 0.0 meV per atom. Its raw total energy is -4.736 eV per atom. As for the total magnetization: 0.60 μB/f.u. The uncorrected formation energy is -773 meV per atom.

a b c (Å): 5.9092 5.9092 3.8638
angles (deg): 90.00 90.00 90.00
Closest atoms and distances in Å follow each position.
Sites, in units of the cell vectors:
I: 0.0000 0.5000 0.0000  2 Sc 2.95
I: 0.5000 0.0000 0.0000  2 Sc 2.95
Sc: 0.0000 0.0000 0.0000  2 O 1.93
Si: 0.5000 0.5000 0.5000  8 I 3.53, 2 Si 3.86
O: 0.0000 0.0000 0.5000  2 Sc 1.93



(3)
ZrFe2Si: optimized geometry, PBE.

Results
Its raw total energy is -7.732 eV per atom. As for the total magnetization: 3.70 μB/f.u. The uncorrected formation energy is -8 meV per atom.

a b c (Å): 4.8821 5.0445 2.8049
angles (deg): 76.27 85.18 117.42
Closest atoms and distances in Å follow each position.
Sites, in units of the cell vectors:
Fe: 0.0000 0.0000 0.0000  2 Zr 2.58, 2 Si 2.58, 4 Fe 2.71-2.80
Fe: 0.5000 0.0000 0.5000  2 Si 2.58, 2 Zr 2.58, 4 Fe 2.71-2.80
Si: 0.0000 0.5000 0.5000  4 Fe 2.58, 2 Zr 2.71, 2 Si 2.80
Zr: 0.5000 0.5000 0.0000  4 Fe 2.58, 2 Si 2.71, 2 Zr 2.80



(4)
LaSi2Sb2: optimized geometry, PBE.

Results
As for the excess energy over the best structure of this formula in the dataset: 221.3 meV per atom. Its raw total energy is -4.770 eV per atom. As for the total magnetization: 0.00 μB/f.u. The uncorrected formation energy is 34 meV per atom.

a b c (Å): 8.2217 8.2217 3.8631
angles (deg): 90.00 90.00 90.00
Closest atoms and distances in Å follow each position.
Sites, in units of the cell vectors:
Sb: 0.3711 0.8711 0.0000  2 Si 2.68, 1 Sb 3.00
Sb: 0.8711 0.6289 0.0000  2 Si 2.68, 1 Sb 3.00
Sb: 0.6289 0.1289 0.0000  2 Si 2.68, 1 Sb 3.00
Sb: 0.1289 0.3711 0.0000  2 Si 2.68, 1 Sb 3.00
Si: 0.2114 0.7114 0.5000  2 Sb 2.68
Si: 0.7114 0.7886 0.5000  2 Sb 2.68
Si: 0.7886 0.2886 0.5000  2 Sb 2.68
Si: 0.2886 0.2114 0.5000  2 Sb 2.68
La: 0.0000 0.0000 0.0000  4 Sb 3.23, 8 Si 3.52
La: 0.5000 0.5000 0.0000  4 Sb 3.23, 8 Si 3.52



(5)
TlSi2H: optimized geometry, PBE.

Results
As for the excess energy over the best structure of this formula in the dataset: 417.4 meV per atom. Its raw total energy is -3.101 eV per atom. As for the total magnetization: 0.00 μB/f.u.

a b c (Å): 4.6092 4.6092 4.6092
angles (deg): 60.00 60.00 60.00
Closest atoms and distances in Å follow each position.
Sites, in units of the cell vectors:
H: 0.0000 0.0000 0.0000  8 Si 2.82
Tl: 0.5000 0.5000 0.5000  8 Si 2.82
Si: 0.2500 0.2500 0.2500  4 Tl 2.82, 4 H 2.82
Si: 0.7500 0.7500 0.7500  4 Tl 2.82, 4 H 2.82



(6)
RbBa2Br2: optimized geometry, PBE.

Results
As for the excess energy over the best structure of this formula in the dataset: 48.8 meV per atom. Its raw total energy is -2.776 eV per atom. As for the total magnetization: 0.00 μB/f.u. The uncorrected formation energy is -1144 meV per atom.

a b c (Å): 9.3657 9.3657 6.4442
angles (deg): 90.00 90.00 90.00
Closest atoms and distances in Å follow each position.
Sites, in units of the cell vectors:
Br: 0.1783 0.6783 0.0000  2 Ba 3.22, 2 Rb 3.44
Br: 0.6783 0.8217 0.0000  2 Ba 3.22, 2 Rb 3.44
Br: 0.8217 0.3217 0.0000  2 Ba 3.22, 2 Rb 3.44
Br: 0.3217 0.1783 0.0000  2 Ba 3.22, 2 Rb 3.44
Ba: 0.1759 0.6759 0.5000  2 Br 3.22
Ba: 0.6759 0.8241 0.5000  2 Br 3.22
Ba: 0.8241 0.3241 0.5000  2 Br 3.22
Ba: 0.3241 0.1759 0.5000  2 Br 3.22
Rb: 0.0000 0.0000 0.0000  4 Br 3.44
Rb: 0.5000 0.5000 0.0000  4 Br 3.44



(7)
LiMgSc2: optimized geometry, PBE.

Results
For the formation energy, the calculation gives 0.11 eV per atom. Its raw total energy is -3.930 eV per atom. As for the total magnetization: 0.00 μB/f.u.

a b c (Å): 10.6610 10.6610 10.6610
angles (deg): 17.26 17.26 17.26
Closest atoms and distances in Å follow each position.
Sites, in units of the cell vectors:
Li: 0.2500 0.2500 0.2500  6 Li 3.20, 6 Sc 3.22
Mg: 0.7500 0.7500 0.7500  6 Sc 3.19, 6 Mg 3.20
Sc: 0.0006 0.0006 0.0006  3 Mg 3.19, 6 Sc 3.20, 3 Li 3.22
Sc: 0.4994 0.4994 0.4994  3 Mg 3.19, 6 Sc 3.20, 3 Li 3.22



(8)
Dy4SbPd: optimized geometry, PBE.

Results
As for the excess energy over the best structure of this formula in the dataset: 136.8 meV per atom. Its raw total energy is -5.137 eV per atom. As for the total magnetization: 0.00 μB/f.u. The uncorrected formation energy is -516 meV per atom.

a b c (Å): 5.4317 6.3168 10.4710
angles (deg): 90.00 105.03 90.00
Closest atoms and distances in Å follow each position.
Sites, in units of the cell vectors:
Dy: 0.8878 0.3223 0.7756  2 Pd 2.78
Dy: 0.1122 0.8223 0.2244  2 Pd 2.78
Dy: 0.4475 0.8222 0.8950  1 Pd 2.72
Dy: 0.5525 0.3222 0.1050  1 Pd 2.72
Dy: 0.7024 0.5699 0.4048  1 Pd 2.91, 2 Dy 3.13-3.19
Dy: 0.2976 0.0699 0.5952  1 Pd 2.91, 2 Dy 3.13-3.19
Dy: 0.7024 0.0746 0.4049  1 Pd 2.91, 2 Dy 3.13-3.19
Dy: 0.2976 0.5746 0.5951  1 Pd 2.91, 2 Dy 3.13-3.19
Sb: 0.8476 0.8222 0.6953  10 Dy 3.26-3.38
Sb: 0.1524 0.3222 0.3047  10 Dy 3.26-3.38
Pd: 0.5822 0.8222 0.1644  5 Dy 2.72-2.91
Pd: 0.4178 0.3222 0.8356  5 Dy 2.72-2.91



(9)
Cu2Ni3Pd6: optimized geometry, PBE.

Results
For the formation energy, the calculation gives 0.35 eV per atom. Its raw total energy is -4.804 eV per atom. As for the total magnetization: 3.70 μB/f.u.

a b c (Å): 3.7474 3.7474 12.4060
angles (deg): 98.69 98.69 90.00
Closest atoms and distances in Å follow each position.
Sites, in units of the cell vectors:
Cu: 0.3487 0.3487 0.6974  5 Pd 2.61-2.72, 4 Ni 2.66
Cu: 0.6513 0.6513 0.3026  5 Pd 2.61-2.72, 4 Ni 2.66
Ni: 0.0000 0.0000 0.0000  8 Pd 2.53
Ni: 0.8573 0.8573 0.7146  5 Pd 2.39-2.57, 4 Cu 2.66
Ni: 0.1427 0.1427 0.2854  5 Pd 2.39-2.57, 4 Cu 2.66
Pd: 0.0701 0.5701 0.1401  4 Ni 2.53-2.57, 4 Pd 2.65, 2 Cu 2.72
Pd: 0.5701 0.0701 0.1401  4 Ni 2.53-2.57, 4 Pd 2.65, 2 Cu 2.72
Pd: 0.9299 0.4299 0.8599  4 Ni 2.53-2.57, 4 Pd 2.65, 2 Cu 2.72
Pd: 0.4299 0.9299 0.8599  4 Ni 2.53-2.57, 4 Pd 2.65, 2 Cu 2.72
Pd: 0.7589 0.7589 0.5177  1 Ni 2.39, 1 Cu 2.61
Pd: 0.2411 0.2411 0.4823  1 Ni 2.39, 1 Cu 2.61



(10)
TeIr2OsRu: optimized geometry, PBE.

Results
Its raw total energy is -5.921 eV per atom. As for the total magnetization: 4.31 μB/f.u. The uncorrected formation energy is 2353 meV per atom.

a b c (Å): 4.7972 4.8125 4.7972
angles (deg): 90.00 90.00 90.00
Closest atoms and distances in Å follow each position.
Sites, in units of the cell vectors:
Ru: 0.5000 0.5000 0.5000  4 Os 3.39, 8 Ir 3.40
Te: 0.0000 0.0000 0.0000  4 Ir 2.40, 2 Os 2.41
Ir: 0.0000 0.0000 0.5000  2 Te 2.40
Ir: 0.5000 0.0000 0.0000  2 Te 2.40
Os: 0.0000 0.5000 0.0000  2 Te 2.41